(1)
A geometry-optimized AlSbSe2 structure. Source: Alexandria, functional PBE.

Unit cell a=3.8414 b=7.1493 c=3.8971 alpha=90.00 beta=90.00 gamma=90.00
Sites, in units of the cell vectors:
Al1 0.5000 0.0000 0.5000
Sb1 0.0000 0.5000 0.5000
Se1 0.0000 0.0000 0.0000
Se2 0.5000 0.5000 0.0000

Calculated values
space group	Pmmm, No. 47
uncorrected formation energy	3.4	kJ per mole of atoms
offset from the most stable computed form	527	meV/atom
final energy	-3.67	eV per atom

---

(2)
A geometry-optimized Ba3NbAl2O8 structure. Source: Alexandria, functional PBE.

Unit cell a=5.7748 b=5.7748 c=7.4863 alpha=90.00 beta=90.00 gamma=120.00
Sites, in units of the cell vectors:
Nb1 0.0000 0.0000 0.5000
O1 0.1682 0.3363 0.3329
O2 0.6667 0.3333 0.9943
O3 0.3363 0.1682 0.6671
O4 0.6637 0.8318 0.3329
O5 0.3333 0.6667 0.0057
O6 0.8318 0.1682 0.6671
O7 0.1682 0.8318 0.3329
O8 0.8318 0.6637 0.6671
Ba1 0.6667 0.3333 0.3233
Ba2 0.3333 0.6667 0.6767
Ba3 0.0000 0.0000 0.0000
Al1 0.3333 0.6667 0.2345
Al2 0.6667 0.3333 0.7655

Calculated values
space group	P-3m1, No. 164
uncorrected formation energy	-266.8	kJ per mole of atoms
final energy	-7.26	eV per atom

---

(3)
A geometry-optimized Na2Ga7Pd12 structure. Source: Alexandria, functional PBE.

Unit cell a=3.8709 b=10.2525 c=10.2525 alpha=120.00 beta=90.00 gamma=90.00
Sites, in units of the cell vectors:
Ga1 0.0000 0.0572 0.7846
Ga2 0.5000 0.9266 0.3655
Ga3 0.0000 0.7274 0.9428
Ga4 0.0000 0.3333 0.6667
Ga5 0.5000 0.6345 0.5611
Ga6 0.5000 0.4389 0.0734
Ga7 0.0000 0.2154 0.2726
Pd1 0.5000 0.3922 0.2916
Pd2 0.5000 0.2120 0.4502
Pd3 0.0000 0.2666 0.0520
Pd4 0.5000 0.7084 0.1007
Pd5 0.5000 0.5498 0.7619
Pd6 0.5000 0.8993 0.6078
Pd7 0.0000 0.7855 0.7334
Pd8 0.0000 0.4828 0.9448
Pd9 0.0000 0.9480 0.2145
Pd10 0.0000 0.0552 0.5380
Pd11 0.5000 0.2381 0.7880
Pd12 0.0000 0.4620 0.5172
Na1 0.0000 0.6667 0.3333
Na2 0.5000 0.0000 0.0000

Calculated values
space group	P-6, No. 174
DFT formation energy	-11.88	eV per formula unit
final energy	-4.67	eV per atom

---

(4)
A geometry-optimized CsZrH2 structure. Source: Alexandria, functional PBE.

Unit cell a=6.1631 b=6.1631 c=6.1104 alpha=59.71 beta=59.71 gamma=90.00
Sites, in units of the cell vectors:
H1 0.3750 0.5167 0.7500
H2 0.4833 0.1250 0.2500
H3 0.2667 0.6250 0.2500
H4 0.8750 0.7333 0.7500
Zr1 0.5000 0.5000 0.0000
Zr2 0.2500 0.7500 0.5000
Cs1 0.7500 0.2500 0.5000
Cs2 0.0000 0.0000 0.0000

Calculated values
space group	I-42d, No. 122
final energy	-3.81	eV per atom

---

(5)
A geometry-optimized CaSiMo2 structure. Source: Alexandria, functional PBE.

Unit cell a=4.4509 b=4.4509 c=6.1505 alpha=81.56 beta=81.56 gamma=42.54
Sites, in units of the cell vectors:
Ca1 0.2368 0.2368 0.2655
Si1 0.4893 0.4893 0.5817
Mo1 0.0201 0.0201 0.9047
Mo2 0.7538 0.7538 0.7482

Calculated values
space group	Cm, No. 8
uncorrected formation energy	19.5	kJ per mole of atoms
final energy	-7.07	eV per atom

---

(6)
A geometry-optimized LiY2In structure. Source: Alexandria, functional PBE.

Unit cell a=3.7426 b=3.7426 c=7.5872 alpha=90.00 beta=90.00 gamma=90.01
Sites, in units of the cell vectors:
Y1 0.0000 0.0000 0.9758
Y2 0.5000 0.5000 0.2767
In1 0.0000 0.0000 0.5340
Li1 0.5000 0.5000 0.7135

Calculated values
space group	P4mm, No. 99
DFT formation energy	-0.61	eV per formula unit
final energy	-4.55	eV per atom